--- P ---
This record from the Alexandria database describes crystalline KSn3W at its relaxed geometry. The functional is PBE-GGA.

```
KSn3W
1.0
5.344 0.000 0.000
0.000 5.344 0.000
0.000 0.000 5.344
K Sn W
1 3 1
Direct
0.000 0.000 0.000
0.000 0.500 0.500
0.500 0.000 0.500
0.500 0.500 0.000
0.500 0.500 0.500
```

- space-group type = No. 221
- V (Å³/cell) = 152.6
- DOS at the Fermi energy (states/eV/f.u.) = 3.41

***

--- Q ---
This record from the Alexandria database describes crystalline KSn3W at its relaxed geometry. The functional is PBE-GGA.

```
KSn3W
1.0
5.608 0.000 0.000
0.000 5.608 0.000
0.000 0.000 5.608
K Sn W
1 3 1
Direct
0.000 0.000 0.000
0.000 0.000 0.500
0.000 0.500 0.000
0.500 0.000 0.000
0.500 0.500 0.500
```

- space-group type = No. 221
- V (Å³/cell) = 176.4
- DOS at the Fermi energy (states/eV/f.u.) = 4.64

***

Energies relative to the most stable structure, in meV per atom: P 0; Q 2030.

***

--- P ---
This record from the Alexandria database describes crystalline K2SnW2 at its relaxed geometry. The functional is PBE-GGA.

```
K2SnW2
1.0
10.393 0.000 0.000
0.000 10.393 0.000
0.000 0.000 2.783
K Sn W
4 2 4
Direct
0.207 0.293 0.000
0.293 0.793 0.000
0.707 0.207 0.000
0.793 0.707 0.000
0.000 0.000 0.500
0.500 0.500 0.500
0.079 0.579 0.500
0.421 0.079 0.500
0.579 0.921 0.500
0.921 0.421 0.500
```

- space-group type = No. 127
- V (Å³/cell) = 300.6
- DOS at the Fermi energy (states/eV/f.u.) = 4.29

***

--- Q ---
This record from the Alexandria database describes crystalline K2SnW2 at its relaxed geometry. The functional is PBE-GGA.

```
K2SnW2
1.0
-2.139 2.139 7.746
2.139 -2.139 7.746
2.139 2.139 -7.746
K Sn W
2 1 2
Direct
0.250 0.750 0.500
0.750 0.250 0.500
0.000 0.000 0.000
0.431 0.431 0.000
0.569 0.569 0.000
```

- space-group type = No. 139
- V (Å³/cell) = 141.8
- DOS at the Fermi energy (states/eV/f.u.) = 4.24

***

Energies relative to the most stable structure, in meV per atom: P 0; Q 205.